Entry 1:
# TaMo2Se (PBEsol, optimized geometry)
# E_form (uncorrected) in eV/atom: 0.25
# Electronic total energy in eV per cell: -77.88
# Fermi-level density of states in states/eV per cell: 5.01
data_TaMo2Se
_chemical_formula_sum 'Ta2 Mo4 Se2'
_space_group_name_H-M_alt 'C 1 2/m 1'
_space_group_IT_number 12
_cell_length_a 5.150
_cell_length_b 8.873
_cell_length_c 2.962
_cell_angle_alpha 90.00
_cell_angle_beta 107.66
_cell_angle_gamma 90.00
loop_
_space_group_symop_operation_xyz
'x,y,z'
'-x,-y,-z'
'-x,y,-z'
'x,-y,z'
'x+1/2,y+1/2,z'
'-x+1/2,-y+1/2,-z'
'-x+1/2,y+1/2,-z'
'x+1/2,-y+1/2,z'
loop_
_atom_site_label
_atom_site_fract_x
_atom_site_fract_y
_atom_site_fract_z
Ta1 0.000 0.000 0.000
Mo1 0.250 0.250 0.500
Se1 0.000 0.500 0.000

---

Entry 2:
# TaRuN2O (PBEsol, optimized geometry)
# E_form (uncorrected) in eV/atom: 0.44
# Electronic total energy in eV per cell: -42.83
# Fermi-level density of states in states/eV per cell: 3.79
data_TaRuN2O
_chemical_formula_sum 'Ta1 Ru1 N2 O1'
_space_group_name_H-M_alt 'P 4/m m m'
_space_group_IT_number 123
_space_group_name_Hall '-P 4 2'
_cell_length_a 3.774
_cell_length_b 3.774
_cell_length_c 3.772
_cell_angle_alpha 90.00
_cell_angle_beta 90.00
_cell_angle_gamma 90.00
loop_
_atom_site_label
_atom_site_fract_x
_atom_site_fract_y
_atom_site_fract_z
Ta1 0.000 0.000 0.000
Ru1 0.500 0.500 0.500
N1 0.000 0.500 0.500
O1 0.500 0.500 0.000

---

Entry 3:
# LaZnTc (PBEsol, optimized geometry)
# Energy relative to the elements in meV/atom: 373
# Energy above the most stable polymorph in this dataset in meV per atom: 0.0
# Electronic total energy in eV per cell: -68.31
# Fermi-level density of states in states/eV per cell: 3.85
data_LaZnTc
_chemical_formula_sum 'La4 Zn4 Tc4'
_space_group_name_H-M_alt 'F -4 3 m'
_space_group_IT_number 216
_space_group_name_Hall 'F -4 2 3'
_cell_length_a 6.319
_cell_length_b 6.319
_cell_length_c 6.319
_cell_angle_alpha 90.00
_cell_angle_beta 90.00
_cell_angle_gamma 90.00
loop_
_atom_site_label
_atom_site_fract_x
_atom_site_fract_y
_atom_site_fract_z
La1 0.000 0.000 0.000
Zn1 0.000 0.000 0.500
Tc1 0.250 0.250 0.250

---

Entry 4:
# PmMgRh2 (PBEsol, optimized geometry)
# Energy relative to the elements in meV/atom: -527
# Electronic total energy in eV per cell: -100.96
# Fermi-level density of states in states/eV per cell: 6.76
data_PmMgRh2
_chemical_formula_sum 'Pm4 Mg4 Rh8'
_space_group_name_H-M_alt 'F m -3 m'
_space_group_IT_number 225
_space_group_name_Hall '-F 4 2 3'
_cell_length_a 6.571
_cell_length_b 6.571
_cell_length_c 6.571
_cell_angle_alpha 90.00
_cell_angle_beta 90.00
_cell_angle_gamma 90.00
loop_
_atom_site_label
_atom_site_fract_x
_atom_site_fract_y
_atom_site_fract_z
Pm1 0.000 0.000 0.000
Mg1 0.000 0.000 0.500
Rh1 0.250 0.250 0.250

---

Entry 5:
# AlCr2Fe (PBEsol, optimized geometry)
# Energy relative to the elements in meV/atom: 150
# Energy above the most stable polymorph in this dataset in meV per atom: 295.8
# Electronic total energy in eV per cell: -131.76
# Fermi-level density of states in states/eV per cell: 10.47
data_AlCr2Fe
_chemical_formula_sum 'Al4 Cr8 Fe4'
_space_group_name_H-M_alt 'F m -3 m'
_space_group_IT_number 225
_space_group_name_Hall '-F 4 2 3'
_cell_length_a 5.770
_cell_length_b 5.770
_cell_length_c 5.770
_cell_angle_alpha 90.00
_cell_angle_beta 90.00
_cell_angle_gamma 90.00
loop_
_atom_site_label
_atom_site_fract_x
_atom_site_fract_y
_atom_site_fract_z
Al1 0.000 0.000 0.000
Cr1 0.250 0.250 0.250
Fe1 0.000 0.000 0.500

---

Entry 6:
# IrOs2W (PBEsol, optimized geometry)
# Energy relative to the elements in meV/atom: -83
# Energy above the most stable polymorph in this dataset in meV per atom: 46.3
# Electronic total energy in eV per cell: -96.79
# Fermi-level density of states in states/eV per cell: 5.12
data_IrOs2W
_chemical_formula_sum 'Ir2 Os4 W2'
_space_group_name_H-M_alt 'I -4 m 2'
_space_group_IT_number 119
_space_group_name_Hall 'I -4 -2'
_cell_length_a 3.854
_cell_length_b 3.854
_cell_length_c 7.727
_cell_angle_alpha 90.00
_cell_angle_beta 90.00
_cell_angle_gamma 90.00
loop_
_atom_site_label
_atom_site_fract_x
_atom_site_fract_y
_atom_site_fract_z
Ir1 0.000 0.000 0.000
Os1 0.000 0.000 0.500
Os2 0.000 0.500 0.250
W1 0.000 0.500 0.750

---

Entry 7:
# Y2ScMn (PBEsol, optimized geometry)
# Energy relative to the elements in meV/atom: 170
# Energy above the most stable polymorph in this dataset in meV per atom: 0.0
# Electronic total energy in eV per cell: -29.33
# Fermi-level density of states in states/eV per cell: 6.60
data_Y2ScMn
_chemical_formula_sum 'Y2 Sc1 Mn1'
_space_group_name_H-M_alt 'P 4 m m'
_space_group_IT_number 99
_cell_length_a 3.475
_cell_length_b 3.475
_cell_length_c 7.878
_cell_angle_alpha 90.00
_cell_angle_beta 90.00
_cell_angle_gamma 90.00
loop_
_space_group_symop_operation_xyz
'x,y,z'
'-y,x,z'
'-x,-y,z'
'y,-x,z'
'-x,y,z'
'y,x,z'
'x,-y,z'
'-y,-x,z'
loop_
_atom_site_label
_atom_site_fract_x
_atom_site_fract_y
_atom_site_fract_z
Y1 0.000 0.000 0.000
Y2 0.500 0.500 0.330
Sc1 0.500 0.500 0.717
Mn1 0.000 0.000 0.557

---

Entry 8:
# TaCr2Ag (PBEsol, optimized geometry)
# Energy relative to the elements in meV/atom: 608
# Energy above the most stable polymorph in this dataset in meV per atom: 284.6
# Electronic total energy in eV per cell: -67.83
# Fermi-level density of states in states/eV per cell: 9.73
data_TaCr2Ag
_chemical_formula_sum 'Ta2 Cr4 Ag2'
_space_group_name_H-M_alt 'C m m m'
_space_group_IT_number 65
_space_group_name_Hall '-C 2 2'
_cell_length_a 5.458
_cell_length_b 8.028
_cell_length_c 2.612
_cell_angle_alpha 90.00
_cell_angle_beta 90.00
_cell_angle_gamma 90.00
loop_
_atom_site_label
_atom_site_fract_x
_atom_site_fract_y
_atom_site_fract_z
Ta1 0.000 0.000 0.000
Cr1 0.250 0.250 0.500
Ag1 0.000 0.500 0.000

---

What is the electronic total energy in the eighth record? -67.83 eV per cell

---

electronic total energy of number 5 (AlCr2Fe)? -131.76 eV per cell

---

What did the fourth record say?
# PmMgRh2 (PBEsol, optimized geometry)
# Energy relative to the elements in meV/atom: -527
# Electronic total energy in eV per cell: -100.96
# Fermi-level density of states in states/eV per cell: 6.76
data_PmMgRh2
_chemical_formula_sum 'Pm4 Mg4 Rh8'
_space_group_name_H-M_alt 'F m -3 m'
_space_group_IT_number 225
_space_group_name_Hall '-F 4 2 3'
_cell_length_a 6.571
_cell_length_b 6.571
_cell_length_c 6.571
_cell_angle_alpha 90.00
_cell_angle_beta 90.00
_cell_angle_gamma 90.00
loop_
_atom_site_label
_atom_site_fract_x
_atom_site_fract_y
_atom_site_fract_z
Pm1 0.000 0.000 0.000
Mg1 0.000 0.000 0.500
Rh1 0.250 0.250 0.250

---

electronic total energy of number 3 (LaZnTc)? -68.31 eV per cell